Crystalline SbIrPt2 at its relaxed geometry. Source: Alexandria via LeMat-Bulk, functional PBE.

V: 16.9 Å³ per atom
raw formation energy: -14 kJ/mol of formula units

Cell and atoms, written as POSCAR:
```
SbIrPt2
1.0
-2.155 -2.797 -0.612
1.521 -0.296 -4.007
4.339 -2.956 -1.769
Pt Sb Ir
2 1 1
direct
0.500 0.500 0.000
0.000 0.000 0.000
0.500 0.500 0.500
0.000 0.000 0.500
```


Crystalline ScH3S at its relaxed geometry. Source: Alexandria via LeMat-Bulk, functional PBE.

V: 10.3 Å³ per atom
offset from the most stable computed form: 0.000 eV/atom

Cell and atoms, written as POSCAR:
```
ScH3S
1.0
3.723 0.000 0.000
0.000 3.723 0.000
0.000 0.000 3.723
H S Sc
3 1 1
direct
0.500 0.000 0.000
0.000 0.000 0.500
0.000 0.500 0.000
0.500 0.500 0.500
0.000 0.000 0.000
```


Crystalline CaPC3 at its relaxed geometry. Source: Alexandria via LeMat-Bulk, functional PBE.

V: 17.2 Å³ per atom
offset from the most stable computed form: 2.236 eV/atom
E_form: 3635 meV per atom

Cell and atoms, written as POSCAR:
```
CaPC3
1.0
-0.332 -3.025 -3.202
4.404 -0.280 -0.192
-0.071 -3.207 3.037
P C Ca
1 3 1
direct
0.500 0.500 0.500
0.000 0.000 0.500
0.000 0.500 0.000
0.500 0.000 0.000
0.000 0.000 0.000
```


Crystalline Mg12Tl6Pd at its relaxed geometry. Source: Alexandria via LeMat-Bulk, functional PBE.

V: 23.1 Å³ per atom
E_form: -76 meV per atom

Cell and atoms, written as POSCAR:
```
Mg12Tl6Pd
1.0
7.991 -0.497 -2.782
-3.761 7.068 -2.782
-0.320 -0.497 8.455
Mg Tl Pd
12 6 1
direct
0.089 0.738 0.151
0.262 0.849 0.911
0.448 0.303 0.198
0.738 0.151 0.089
0.552 0.697 0.802
0.697 0.802 0.552
0.303 0.198 0.448
0.802 0.552 0.697
0.911 0.262 0.849
0.849 0.911 0.262
0.198 0.448 0.303
0.151 0.089 0.738
0.387 0.600 0.091
0.091 0.387 0.600
0.600 0.091 0.387
0.613 0.400 0.909
0.909 0.613 0.400
0.400 0.909 0.613
0.000 0.000 0.000
```


Crystalline AcLaC2O8 at its relaxed geometry. Source: Alexandria via LeMat-Bulk, functional PBE.

V: 11.8 Å³ per atom
raw formation energy: -2330 kJ/mol of formula units

Cell and atoms, written as POSCAR:
```
AcLaC2O8
1.0
-2.000 3.204 -3.181
0.392 -0.776 -4.861
-6.276 -2.683 -2.589
O C Ac La
8 2 1 1
direct
0.327 0.327 0.018
0.917 0.918 0.705
0.917 0.461 0.705
0.460 0.918 0.705
0.083 0.539 0.295
0.540 0.082 0.295
0.083 0.082 0.295
0.673 0.673 0.982
0.742 0.743 0.772
0.258 0.257 0.228
0.500 0.500 0.500
0.000 0.000 0.000
```


Crystalline Ca5Si2N6 at its relaxed geometry. Source: Alexandria via LeMat-Bulk, functional PBE.

V: 14.4 Å³ per atom
raw formation energy: -1445 kJ/mol of formula units

Cell and atoms, written as POSCAR:
```
Ca5Si2N6
1.0
5.928 0.001 -0.001
-2.607 5.324 -0.001
1.010 1.620 11.897
N Si Ca
12 4 10
direct
0.095 0.388 0.638
0.390 0.390 0.915
0.343 0.054 0.127
0.657 0.946 0.873
0.643 0.643 0.575
0.612 0.905 0.362
0.946 0.657 0.873
0.905 0.612 0.362
0.388 0.095 0.638
0.610 0.610 0.085
0.357 0.357 0.425
0.054 0.343 0.127
0.350 0.350 0.575
0.325 0.325 0.069
0.675 0.675 0.931
0.650 0.650 0.425
0.732 0.382 0.738
0.268 0.618 0.262
0.382 0.732 0.738
0.188 0.812 0.500
0.088 0.088 0.793
0.912 0.912 0.207
0.812 0.188 0.500
0.618 0.268 0.262
0.242 0.758 0.000
0.758 0.242 0.000
```


Number 1: density 17332 kg/m3, size of the total moment 0.00 μB per formula unit. Number 2: density 2576 kg/m3, size of the total moment 0.00 μB per formula unit. Number 3: density 2063 kg/m3, size of the total moment 0.00 μB per formula unit. Number 4: density 6147 kg/m3, size of the total moment 0.00 μB per formula unit. Number 5: density 6061 kg/m3, size of the total moment 1.99 μB per formula unit. Number 6: density 3012 kg/m3, size of the total moment 0.00 μB per formula unit.